# 1
{
  "formula": "Li24TiCr11O36",
  "functional": "PBEsol",
  "state": "optimized geometry",
  "final_energy_ev_per_atom": -7.073,
  "raw_formation_energy_kj_per_mol_fu": -14678,
  "crystal_system": "monoclinic",
  "space_group": "C2 (5)",
  "lattice": [[7.406, -4.263, 0.000], [7.406, 4.263, 0.000], [-1.579, 0.000, 9.408]],
  "species": ["Li", "Li", "Li", "Li", "Li", "Li", "Li", "Li", "Li", "Li", "Li", "Li", "Li", "Li", "Li", "Li", "Li", "Li", "Li", "Li", "Li", "Li", "Li", "Li", "Ti", "Cr", "Cr", "Cr", "Cr", "Cr", "Cr", "Cr", "Cr", "Cr", "Cr", "Cr", "O", "O", "O", "O", "O", "O", "O", "O", "O", "O", "O", "O", "O", "O", "O", "O", "O", "O", "O", "O", "O", "O", "O", "O", "O", "O", "O", "O", "O", "O", "O", "O", "O", "O", "O", "O"],
  "frac_coords": [[0.000, 0.000, 0.000], [0.077, 0.755, 0.750], [0.082, 0.085, 0.751], [0.090, 0.409, 0.750], [0.167, 0.167, 0.500], [0.245, 0.923, 0.250], [0.251, 0.249, 0.250], [0.257, 0.575, 0.249], [0.333, 0.333, 0.999], [0.409, 0.088, 0.748], [0.416, 0.418, 0.748], [0.425, 0.743, 0.751], [0.502, 0.498, 0.500], [0.576, 0.256, 0.250], [0.582, 0.584, 0.252], [0.591, 0.910, 0.250], [0.667, 0.667, 0.001], [0.744, 0.424, 0.750], [0.751, 0.749, 0.750], [0.758, 0.076, 0.749], [0.833, 0.833, 0.500], [0.912, 0.591, 0.252], [0.915, 0.918, 0.249], [0.924, 0.242, 0.251], [0.168, 0.832, 0.500], [0.001, 0.666, 0.000], [0.167, 0.498, 0.500], [0.333, 0.667, 0.000], [0.334, 0.999, 0.000], [0.501, 0.166, 0.499], [0.502, 0.833, 0.500], [0.666, 0.001, 0.999], [0.667, 0.333, 0.000], [0.831, 0.169, 0.500], [0.834, 0.499, 0.501], [0.999, 0.334, 0.001], [0.033, 0.038, 0.383], [0.035, 0.393, 0.389], [0.057, 0.699, 0.385], [0.106, 0.465, 0.112], [0.132, 0.772, 0.112], [0.133, 0.132, 0.114], [0.201, 0.201, 0.886], [0.202, 0.560, 0.888], [0.228, 0.868, 0.888], [0.277, 0.626, 0.615], [0.299, 0.297, 0.614], [0.301, 0.943, 0.615], [0.369, 0.367, 0.384], [0.374, 0.723, 0.385], [0.394, 0.035, 0.387], [0.440, 0.798, 0.112], [0.465, 0.106, 0.112], [0.466, 0.465, 0.114], [0.535, 0.534, 0.886], [0.535, 0.894, 0.888], [0.561, 0.201, 0.887], [0.607, 0.965, 0.611], [0.632, 0.273, 0.612], [0.633, 0.631, 0.616], [0.701, 0.060, 0.387], [0.703, 0.701, 0.386], [0.727, 0.368, 0.388], [0.773, 0.132, 0.112], [0.799, 0.439, 0.113], [0.799, 0.799, 0.114], [0.868, 0.227, 0.888], [0.868, 0.867, 0.886], [0.894, 0.535, 0.888], [0.940, 0.299, 0.613], [0.962, 0.967, 0.617], [0.965, 0.606, 0.613]]
}


# 2
{
  "formula": "Li2TiCrO4",
  "functional": "PBEsol",
  "state": "optimized geometry",
  "final_energy_ev_per_atom": -7.800,
  "raw_formation_energy_kj_per_mol_fu": -1824,
  "crystal_system": "monoclinic",
  "space_group": "P2/m (10)",
  "relative_energy_ev_per_atom": 0.000,
  "lattice": [[4.882, 0.000, 0.000], [0.000, 2.891, 0.000], [-1.643, 0.000, 4.882]],
  "species": ["Li", "Li", "Ti", "Cr", "O", "O", "O", "O"],
  "frac_coords": [[0.000, 0.000, 0.000], [0.500, 0.500, 0.000], [0.000, 0.500, 0.500], [0.500, 0.000, 0.500], [0.245, 0.000, 0.738], [0.262, 0.500, 0.267], [0.738, 0.500, 0.733], [0.755, 0.000, 0.262]]
}